VASP calculation (GGA-PBE) on SrTe2Rh after structural relaxation.

Structure (POSCAR):
```
SrTe2Rh
1.0
0.000 3.732 3.732
3.732 0.000 3.732
3.732 3.732 0.000
Sr Te Rh
1 2 1
direct
0.000 0.000 0.000
0.250 0.250 0.250
0.500 0.500 0.500
0.750 0.750 0.750
```

Properties
Uncorrected formation energy in eV/atom: -0.07
Space-group type: F-43m (216)
Energy relative to the lowest polymorph listed for this composition in meV/atom: 715

---

VASP calculation (GGA-PBE) on BeFePRu after structural relaxation.

Structure (POSCAR):
```
BeFePRu
1.0
0.000 2.754 2.754
2.754 0.000 2.754
2.754 2.754 0.000
Be Fe P Ru
1 1 1 1
direct
0.000 0.000 0.000
0.250 0.250 0.250
0.500 0.500 0.500
0.750 0.750 0.750
```

Properties
Calculated formation energy in eV per formula unit: -1.59
Space-group type: F-43m (216)

---

VASP calculation (GGA-PBE) on Ho3InSe2 after structural relaxation.

Structure (POSCAR):
```
Ho3InSe2
1.0
-2.001 2.963 6.475
2.001 -2.963 6.475
2.001 2.963 -6.475
Ho In Se
3 1 2
direct
0.000 0.000 0.000
0.323 0.323 0.000
0.677 0.677 0.000
0.500 0.000 0.500
0.165 0.665 0.500
0.835 0.335 0.500
```

Properties
Uncorrected formation energy in eV/atom: -1.29
Space-group type: Immm (71)

---

VASP calculation (GGA-PBE) on Pr4TlHgN after structural relaxation.

Structure (POSCAR):
```
Pr4TlHgN
1.0
3.617 -7.744 0.000
3.617 7.744 0.000
0.000 0.000 7.235
Pr Tl Hg N
8 2 2 2
direct
0.000 0.500 0.000
0.000 0.500 0.500
0.081 0.919 0.750
0.414 0.586 0.750
0.500 0.000 0.000
0.500 0.000 0.500
0.586 0.414 0.250
0.919 0.081 0.250
0.381 0.619 0.250
0.619 0.381 0.750
0.120 0.880 0.250
0.880 0.120 0.750
0.250 0.750 0.750
0.750 0.250 0.250
```

Properties
Uncorrected formation energy in eV/atom: -0.60
Space-group type: Cmcm (63)

---

VASP calculation (GGA-PBE) on Li2CoAg after structural relaxation.

Structure (POSCAR):
```
Li2CoAg
1.0
4.600 -1.318 0.000
4.600 1.318 0.000
-0.664 0.000 4.771
Li Co Ag
2 1 1
direct
0.000 0.000 0.000
0.238 0.238 0.738
0.494 0.494 0.495
0.751 0.751 0.256
```

Properties
Calculated formation energy in eV per formula unit: 0.64
Space-group type: Cm (8)

---

VASP calculation (GGA-PBE) on ScTc2Ru after structural relaxation.

Structure (POSCAR):
```
ScTc2Ru
1.0
2.633 -4.449 0.000
2.633 4.449 0.000
-0.906 0.000 2.635
Sc Tc Ru
1 2 1
direct
0.000 0.000 0.000
0.000 0.500 0.500
0.500 0.000 0.500
0.500 0.500 0.000
```

Properties
Calculated formation energy in eV per formula unit: -0.07
Space-group type: C2/m (12)
Energy relative to the lowest polymorph listed for this composition in meV/atom: 100

---

VASP calculation (GGA-PBE) on Tc2AsW after structural relaxation.

Structure (POSCAR):
```
Tc2AsW
1.0
4.618 -1.500 0.000
4.618 1.500 0.000
-1.290 0.000 4.376
Tc As W
2 1 1
direct
0.000 0.000 0.000
0.740 0.740 0.134
0.252 0.252 0.671
0.504 0.504 0.500
```

Properties
Calculated formation energy in eV per formula unit: 0.50
Space-group type: Cm (8)

---

VASP calculation (GGA-PBE) on PmY2ErTm5 after structural relaxation.

Structure (POSCAR):
```
PmY2ErTm5
1.0
2.783 -9.775 0.000
2.783 9.775 0.000
0.000 0.000 10.534
Pm Y Er Tm
2 4 2 10
direct
0.083 0.917 0.500
0.917 0.083 0.000
0.387 0.613 0.364
0.390 0.610 0.779
0.610 0.390 0.279
0.613 0.387 0.864
0.299 0.701 0.056
0.701 0.299 0.556
0.021 0.979 0.781
0.111 0.889 0.066
0.201 0.799 0.754
0.217 0.783 0.355
0.480 0.520 0.070
0.520 0.480 0.570
0.783 0.217 0.855
0.799 0.201 0.254
0.889 0.111 0.566
0.979 0.021 0.281
```

Properties
Calculated formation energy in eV per formula unit: 1.43
Space-group type: Cmc2_1 (36)

---

VASP calculation (GGA-PBE) on Ba2MgCdH6 after structural relaxation.

Structure (POSCAR):
```
Ba2MgCdH6
1.0
4.815 -2.780 0.000
4.815 2.780 0.000
-3.199 0.000 6.609
Ba Mg Cd H
2 1 1 6
direct
0.228 0.228 0.185
0.772 0.772 0.815
0.500 0.500 0.000
0.000 0.000 0.500
0.207 0.723 0.155
0.276 0.276 0.845
0.277 0.793 0.845
0.723 0.207 0.155
0.724 0.724 0.155
0.793 0.277 0.845
```

Properties
Space-group type: C2/m (12)
Total DFT energy (no corrections) in eV/atom: -2.919

---

VASP calculation (GGA-PBE) on Co2ReNi8 after structural relaxation.

Structure (POSCAR):
```
Co2ReNi8
1.0
6.230 -2.327 0.000
6.230 2.327 0.000
-0.747 0.000 4.422
Co Re Ni
2 1 8
direct
0.190 0.190 0.081
0.810 0.810 0.919
0.500 0.500 0.500
0.006 0.006 0.249
0.076 0.589 0.410
0.396 0.396 0.948
0.411 0.924 0.590
0.589 0.076 0.410
0.604 0.604 0.052
0.924 0.411 0.590
0.994 0.994 0.751
```

Properties
Calculated formation energy in eV per formula unit: 1.51
Space-group type: C2/m (12)

---

VASP calculation (GGA-PBE) on CsPuTe3Au after structural relaxation.

Structure (POSCAR):
```
CsPuTe3Au
1.0
2.232 -8.615 0.000
2.232 8.615 0.000
0.000 0.000 11.426
Cs Pu Te Au
2 2 6 2
direct
0.248 0.752 0.750
0.752 0.248 0.250
0.000 0.000 0.000
0.000 0.000 0.500
0.064 0.936 0.250
0.380 0.620 0.045
0.380 0.620 0.455
0.620 0.380 0.545
0.620 0.380 0.955
0.936 0.064 0.750
0.464 0.536 0.250
0.536 0.464 0.750
```

Properties
Uncorrected formation energy in eV/atom: -0.82
Space-group type: Cmcm (63)

---

VASP calculation (GGA-PBE) on Nd2CdHg2 after structural relaxation.

Structure (POSCAR):
```
Nd2CdHg2
1.0
2.804 -2.811 0.000
2.804 2.811 0.000
-2.790 0.000 8.650
Nd Cd Hg
2 1 2
direct
0.107 0.107 0.212
0.893 0.893 0.788
0.500 0.500 0.000
0.296 0.296 0.595
0.704 0.704 0.405
```

Properties
Calculated formation energy in eV per formula unit: -1.89
Space-group type: C2/m (12)
Energy relative to the lowest polymorph listed for this composition in meV/atom: 0

---

VASP calculation (GGA-PBE) on Mg2Ru after structural relaxation.

Structure (POSCAR):
```
Mg2Ru
1.0
7.914 0.000 0.000
-3.957 6.853 0.000
0.000 0.000 2.801
Mg Ru
6 3
direct
0.000 0.301 0.000
0.000 0.634 0.500
0.301 0.000 0.000
0.366 0.366 0.500
0.634 0.000 0.500
0.699 0.699 0.000
0.000 0.000 0.500
0.333 0.667 0.000
0.667 0.333 0.000
```

Properties
Calculated formation energy in eV per formula unit: 0.15
Space-group type: P-62m (189)

---

VASP calculation (GGA-PBE) on PuZrCoRh after structural relaxation.

Structure (POSCAR):
```
PuZrCoRh
1.0
0.000 3.314 3.314
3.314 0.000 3.314
3.314 3.314 0.000
Pu Zr Co Rh
1 1 1 1
direct
0.000 0.000 0.000
0.500 0.500 0.500
0.750 0.750 0.750
0.250 0.250 0.250
```

Properties
Calculated formation energy in eV per formula unit: -1.06
Space-group type: F-43m (216)

---

VASP calculation (GGA-PBE) on Pm12In2Sn5 after structural relaxation.

Structure (POSCAR):
```
Pm12In2Sn5
1.0
8.968 -3.561 0.000
8.968 3.561 0.000
-2.583 0.000 10.215
Pm In Sn
12 2 5
direct
0.013 0.013 0.250
0.065 0.578 0.907
0.090 0.615 0.446
0.385 0.910 0.554
0.405 0.405 0.198
0.422 0.935 0.093
0.578 0.065 0.907
0.595 0.595 0.802
0.615 0.090 0.446
0.910 0.385 0.554
0.935 0.422 0.093
0.987 0.987 0.750
0.290 0.710 0.000
0.710 0.290 0.000
0.167 0.167 0.819
0.206 0.206 0.346
0.500 0.500 0.500
0.794 0.794 0.654
0.833 0.833 0.181
```

Properties
Calculated formation energy in eV per formula unit: -6.29
Space-group type: C2/m (12)

---

VASP calculation (GGA-PBE) on NdZn4Ni2 after structural relaxation.

Structure (POSCAR):
```
NdZn4Ni2
1.0
7.432 0.000 0.000
0.000 7.432 0.000
0.000 0.000 4.057
Nd Zn Ni
2 8 4
direct
0.000 0.000 0.000
0.500 0.500 0.500
0.091 0.345 0.500
0.155 0.591 0.000
0.345 0.091 0.500
0.409 0.845 0.000
0.591 0.155 0.000
0.655 0.909 0.500
0.845 0.409 0.000
0.909 0.655 0.500
0.222 0.778 0.500
0.278 0.278 0.000
0.722 0.722 0.000
0.778 0.222 0.500
```

Properties
Calculated formation energy in eV per formula unit: -2.30
Space-group type: P4_2/mnm (136)

---

VASP calculation (GGA-PBE) on KVFe3 after structural relaxation.

Structure (POSCAR):
```
KVFe3
1.0
4.565 0.000 0.000
0.000 4.565 0.000
0.000 0.000 4.565
K V Fe
1 1 3
direct
0.000 0.000 0.000
0.500 0.500 0.500
0.000 0.500 0.500
0.500 0.000 0.500
0.500 0.500 0.000
```

Properties
Calculated formation energy in eV per formula unit: 5.95
Space-group type: Pm-3m (221)
Energy relative to the lowest polymorph listed for this composition in meV/atom: 0

---

VASP calculation (GGA-PBE) on VCo4 after structural relaxation.

Structure (POSCAR):
```
VCo4
1.0
1.255 0.724 10.309
-1.255 0.724 10.309
0.000 -1.449 10.309
V Co
1 4
direct
0.000 0.000 0.000
0.199 0.199 0.199
0.402 0.402 0.402
0.598 0.598 0.598
0.801 0.801 0.801
```

Properties
Calculated formation energy in eV per formula unit: 0.17
Space-group type: R-3m (166)
Energy relative to the lowest polymorph listed for this composition in meV/atom: 63

---

VASP calculation (GGA-PBE) on AgPRh2 after structural relaxation.

Structure (POSCAR):
```
AgPRh2
1.0
2.897 0.000 0.000
0.000 4.359 0.000
-1.436 0.000 4.992
Ag P Rh
1 1 2
direct
0.000 0.000 0.000
0.672 0.500 0.342
0.355 0.500 0.712
0.733 0.000 0.471
```

Properties
Calculated formation energy in eV per formula unit: -0.16
Space-group type: Pm (6)

---

VASP calculation (GGA-PBE) on Fe2AgHgCl8 after structural relaxation.

Structure (POSCAR):
```
Fe2AgHgCl8
1.0
-4.450 4.450 4.131
4.450 -4.450 4.131
4.450 4.450 -4.131
Fe Ag Hg Cl
2 1 1 8
direct
0.000 0.000 0.000
0.750 0.250 0.500
0.250 0.750 0.500
0.500 0.500 0.000
0.026 0.831 0.195
0.111 0.419 0.693
0.169 0.363 0.195
0.169 0.974 0.805
0.581 0.274 0.693
0.581 0.889 0.307
0.637 0.831 0.805
0.726 0.419 0.307
```

Properties
Uncorrected formation energy in eV/atom: -0.61
Space-group type: I-4m2 (119)